Record 1
LiAc2Pr (GGA-PBE, optimized geometry); E_form = 3.27 kcal/mol of atoms; ΔE to the lowest computed polymorph = 90 meV/atom; magnetization = 0.000 μB/atom
1.0
-1.9319 1.4572 -5.4579
2.8884 -2.0079 -4.8239
-2.5218 -4.1447 -3.4793
Pr Ac Li
1 2 1
direct
0.5000 0.5000 0.5000
0.2500 0.2500 0.2500
0.7500 0.7500 0.7500
0.0000 0.0000 0.0000

Record 2
LiAc4Pr3 (GGA-PBE, optimized geometry); E_form = 2.32 kcal/mol of atoms; magnetization = 0.000 μB/atom
1.0
-1.4074 2.7811 -5.3221
-0.0607 -5.4705 -2.8480
-7.2256 0.5547 5.7747
Pr Ac Li
3 4 1
direct
0.0000 0.5000 0.0000
0.7601 0.2597 0.5204
0.2399 0.7403 0.4796
0.3820 0.3821 0.7639
0.6180 0.6179 0.2361
0.1181 0.1180 0.2361
0.8819 0.8820 0.7639
0.5000 0.0000 0.0000

Record 3
LiAcPr (GGA-PBE, optimized geometry); E_form = 0.81 kcal/mol of atoms; ΔE to the lowest computed polymorph = 0 meV/atom; magnetization = 0.000 μB/atom
1.0
3.8449 0.0004 0.2332
-0.0007 3.8522 0.0060
-0.8370 -0.0204 13.7493
Li Ac Pr
2 2 2
direct
0.8726 0.2918 0.8012
0.3730 0.7916 0.7111
0.8728 0.2908 0.5411
0.3718 0.7910 0.9712
0.8721 0.2908 0.1642
0.3723 0.7908 0.3480

Record 4
LiAcPr2 (GGA-PBE, optimized geometry); E_form = 1.45 kcal/mol of atoms; ΔE to the lowest computed polymorph = 0 meV/atom; magnetization = 0.000 μB/atom
1.0
-2.0242 -1.8827 -2.7007
-0.9844 -2.6792 2.6055
-7.4149 4.8446 2.1802
Pr Ac Li
2 1 1
direct
0.0000 0.0000 0.7868
0.0000 0.0000 0.2132
0.5000 0.5000 0.5000
0.5000 0.5000 0.0000

> What is the magnetization in the third record?

0.000 μB/atom